No. 1
Below is a relaxed structure of CoTe2OsI, with properties calculated at the GGA-PBEsol level.

Properties
DOS(E_F): 5.945 states/eV/f.u.
V: 28.5 Å³ per atom
ΔE_f (raw): 127.1 kJ per mole of atoms

Cell lengths 5.054, 5.054, 5.574 Å; angles 90.00, 90.00, 90.00 degrees
Space group P4/mmm (No. 123)
Unique sites:
Co  0.000  0.000  0.000 x1
Te  0.000  0.500  0.500 x2
Os  0.500  0.500  0.500 x1
I  0.500  0.500  0.000 x1

=====

No. 2
Below is a relaxed structure of KHg3, with properties calculated at the GGA-PBEsol level.

Properties
DOS(E_F): 1.553 states/eV/f.u.
V: 27.2 Å³ per atom
ΔH_f (0 K): -200.6 meV/atom

Cell lengths 6.9085, 6.9085, 5.2740 Å; angles 90.00, 90.00, 120.00 degrees
Space group P6_3/mmc (No. 194)
Unique sites:
K  0.3333  0.6667  0.2500 x2
Hg  0.1542  0.3083  0.7500 x6

=====

No. 3
Below is a relaxed structure of LaPO4, with properties calculated at the GGA-PBEsol level.

Properties
DOS(E_F): 0.000 states/eV/f.u.
V: 14.6 Å³ per atom
ΔE_f (raw): -291.7 kJ per mole of atoms

Cell lengths 7.377, 5.197, 9.133 Å; angles 90.00, 90.00, 90.00 degrees
Space group Pnma (No. 62)
Unique sites:
La  0.018  0.250  0.195 x4
P  0.248  0.750  0.080 x4
O  0.035  0.750  0.084 x4
O  0.189  0.005  0.658 x8
O  0.201  0.250  0.416 x4

=====

No. 4
Below is a relaxed structure of Ni2TeW, with properties calculated at the GGA-PBEsol level.

Properties
DOS(E_F): 5.267 states/eV/f.u.
V: 14.1 Å³ per atom
ΔE_f (raw): 37.4 kJ per mole of atoms

Cell lengths 3.953, 3.953, 3.600 Å; angles 90.00, 90.00, 90.00 degrees
Space group P4/mmm (No. 123)
Unique sites:
Ni  0.000  0.500  0.000 x2
Te  0.000  0.000  0.500 x1
W  0.500  0.500  0.500 x1

=====

No. 5
Below is a relaxed structure of LaY2Zr, with properties calculated at the GGA-PBEsol level.

Properties
DOS(E_F): 5.671 states/eV/f.u.
V: 28.6 Å³ per atom
ΔH_f (0 K): 90.3 meV/atom
Excess energy over the best structure of this formula in the dataset: 0.0098 eV per atom

Cell lengths 3.4170, 3.4170, 33.9091 Å; angles 90.00, 90.00, 120.00 degrees
Space group R-3m (No. 166, hexagonal axes)
Unique sites:
La  0.0000  0.0000  0.0000 x3
Y  0.0000  0.0000  0.2437 x6
Zr  0.0000  0.0000  0.5000 x3

=====

No. 6
Below is a relaxed structure of CsMo6Se7, with properties calculated at the GGA-PBEsol level.

Properties
DOS(E_F): 3.297 states/eV/f.u.
V: 23.2 Å³ per atom
ΔE_f (raw): -63.8 kJ per mole of atoms

Cell lengths 9.5927, 9.5927, 24.4506 Å; angles 90.00, 90.00, 120.00 degrees
Space group R-3 (No. 148, hexagonal axes)
Unique sites:
Cs  0.0000  0.0000  0.1272 x6
Mo  0.0179  0.8496  0.5446 x18
Mo  0.0229  0.8540  0.3614 x18
Se  0.0000  0.0000  0.2794 x6
Se  0.0037  0.6263  0.2974 x18
Se  0.0063  0.6299  0.1189 x18

=====

No. 7
Below is a relaxed structure of Li2Be3, with properties calculated at the GGA-PBEsol level.

Properties
DOS(E_F): 2.029 states/eV/f.u.
V: 11.8 Å³ per atom
ΔH_f (0 K): 733.4 meV/atom

Cell lengths 3.8241, 3.8241, 4.6689 Å; angles 90.00, 90.00, 120.00 degrees
Space group P-3m1 (No. 164)
Unique sites:
Li  0.3333  0.6667  0.3427 x2
Be  0.0000  0.0000  0.5000 x1
Be  0.3333  0.6667  0.8490 x2

=====

No. 8
Below is a relaxed structure of YTl2Hg, with properties calculated at the GGA-PBEsol level.

Properties
DOS(E_F): 1.793 states/eV/f.u.
V: 24.3 Å³ per atom
ΔH_f (0 K): -369.5 meV/atom

Cell lengths 4.619, 4.619, 4.558 Å; angles 90.00, 90.00, 90.00 degrees
Space group P4/mmm (No. 123)
Unique sites:
Y  0.000  0.000  0.000 x1
Tl  0.000  0.500  0.500 x2
Hg  0.500  0.500  0.000 x1

=====

No. 9
Below is a relaxed structure of La3Cu, with properties calculated at the GGA-PBEsol level.

Properties
DOS(E_F): 4.828 states/eV/f.u.
V: 29.1 Å³ per atom
ΔH_f (0 K): -34.0 meV/atom

Cell lengths 7.033, 10.263, 6.460 Å; angles 90.00, 90.00, 90.00 degrees
Space group Pnma (No. 62)
Unique sites:
La  0.024  0.250  0.145 x4
La  0.190  0.056  0.661 x8
Cu  0.110  0.750  0.413 x4

=====

No. 10
Below is a relaxed structure of BaCuSi2, with properties calculated at the GGA-PBEsol level.

Properties
DOS(E_F): 1.048 states/eV/f.u.
V: 24.7 Å³ per atom
ΔE_f (raw): -7.9 kJ per mole of atoms

Cell lengths 4.069, 6.474, 7.514 Å; angles 90.00, 90.00, 90.00 degrees
Space group Immm (No. 71)
Unique sites:
Ba  0.000  0.000  0.000 x2
Cu  0.000  0.000  0.500 x2
Si  0.000  0.500  0.154 x4

=====

No. 11
Below is a relaxed structure of CsHf3Pb, with properties calculated at the GGA-PBEsol level.

Properties
DOS(E_F): 11.232 states/eV/f.u.
V: 33.1 Å³ per atom
ΔH_f (0 K): 1586.0 meV/atom

Cell lengths 5.491, 5.491, 5.491 Å; angles 90.00, 90.00, 90.00 degrees
Space group Pm-3m (No. 221)
Unique sites:
Cs  0.000  0.000  0.000 x1
Hf  0.000  0.500  0.500 x3
Pb  0.500  0.500  0.500 x1

=====

No. 12
Below is a relaxed structure of Hg2PtCl, with properties calculated at the GGA-PBEsol level.

Properties
DOS(E_F): 1.983 states/eV/f.u.
V: 19.7 Å³ per atom
Excess energy over the best structure of this formula in the dataset: 0.1888 eV per atom
ΔE_f (raw): 20.5 kJ per mole of atoms

Cell lengths 3.135, 3.135, 8.032 Å; angles 90.00, 90.00, 90.00 degrees
Space group P4mm (No. 99)
Unique sites:
Hg  0.000  0.000  0.000 x1
Hg  0.500  0.500  0.285 x1
Pt  0.000  0.000  0.496 x1
Cl  0.500  0.500  0.710 x1

=====

No. 13
Below is a relaxed structure of KSiN2, with properties calculated at the GGA-PBEsol level.

Properties
DOS(E_F): 1.284 states/eV/f.u.
V: 20.7 Å³ per atom
ΔE_f (raw): 55.9 kJ per mole of atoms

Cell lengths 3.7928, 3.7928, 19.9868 Å; angles 90.00, 90.00, 120.00 degrees
Space group R-3m (No. 166, hexagonal axes)
Unique sites:
K  0.0000  0.0000  0.0000 x3
Si  0.0000  0.0000  0.5000 x3
N  0.0000  0.0000  0.4189 x6

=====

No. 14
Below is a relaxed structure of Li2CaRh, with properties calculated at the GGA-PBEsol level.

Properties
DOS(E_F): 2.100 states/eV/f.u.
V: 18.7 Å³ per atom
ΔH_f (0 K): -59.0 meV/atom
Excess energy over the best structure of this formula in the dataset: 0.0322 eV per atom

Cell lengths 4.3284, 4.3284, 13.8508 Å; angles 90.00, 90.00, 120.00 degrees
Space group R3m (No. 160, hexagonal axes)
Unique sites:
Li  0.0000  0.0000  0.0000 x3
Li  0.0000  0.0000  0.2825 x3
Ca  0.0000  0.0000  0.7967 x3
Rh  0.0000  0.0000  0.5830 x3

=====

No. 15
Below is a relaxed structure of CsBa2SrSn, with properties calculated at the GGA-PBEsol level.

Properties
DOS(E_F): 5.451 states/eV/f.u.
V: 46.4 Å³ per atom
ΔH_f (0 K): 640.2 meV/atom

Cell lengths 6.191, 6.191, 6.059 Å; angles 90.00, 90.00, 90.00 degrees
Space group P4/mmm (No. 123)
Unique sites:
Cs  0.000  0.000  0.000 x1
Ba  0.000  0.500  0.000 x2
Sr  0.000  0.000  0.500 x1
Sn  0.500  0.500  0.500 x1

=====

No. 16
Below is a relaxed structure of Be5Au, with properties calculated at the GGA-PBEsol level.

Properties
DOS(E_F): 0.629 states/eV/f.u.
V: 9.5 Å³ per atom
ΔH_f (0 K): -93.9 meV/atom
Excess energy over the best structure of this formula in the dataset: 0.0226 eV per atom

Cell lengths 4.2022, 4.2022, 3.7253 Å; angles 90.00, 90.00, 120.00 degrees
Space group P-62m (No. 189)
Unique sites:
Be  0.0000  0.6124  0.0000 x3
Be  0.3333  0.6667  0.5000 x2
Au  0.0000  0.0000  0.5000 x1

=====

No. 17
Below is a relaxed structure of BaCu3, with properties calculated at the GGA-PBEsol level.

Properties
DOS(E_F): 1.431 states/eV/f.u.
V: 19.1 Å³ per atom
ΔH_f (0 K): 631.5 meV/atom

Cell lengths 4.844, 4.844, 3.256 Å; angles 90.00, 90.00, 90.00 degrees
Space group P4/mmm (No. 123)
Unique sites:
Ba  0.000  0.000  0.000 x1
Cu  0.000  0.500  0.500 x2
Cu  0.500  0.500  0.000 x1

=====

No. 18
Below is a relaxed structure of Ho2Zr2O7, with properties calculated at the GGA-PBEsol level.

Properties
DOS(E_F): 0.000 states/eV/f.u.
V: 12.8 Å³ per atom
ΔE_f (raw): -340.1 kJ per mole of atoms

Cell lengths 10.396, 10.396, 10.396 Å; angles 90.00, 90.00, 90.00 degrees
Space group Fd-3m (No. 227, origin choice 2)
Unique sites:
Ho  0.000  0.000  0.000 x16
Zr  0.000  0.000  0.500 x16
O  0.092  0.375  0.875 x48
O  0.125  0.125  0.125 x8

=====

No. 19
Below is a relaxed structure of KGeSbO5, with properties calculated at the GGA-PBEsol level.

Properties
DOS(E_F): 0.000 states/eV/f.u.
V: 14.9 Å³ per atom
ΔE_f (raw): -164.7 kJ per mole of atoms

Cell lengths 13.296, 6.623, 10.839 Å; angles 90.00, 90.00, 90.00 degrees
Space group Pna2_1 (No. 33)
Unique sites:
K  0.111  0.203  0.000 x4
K  0.119  0.772  0.256 x4
Ge  0.002  0.318  0.312 x4
Ge  0.182  0.011  0.563 x4
Sb  0.117  0.508  0.561 x4
Sb  0.245  0.757  0.816 x4
O  0.001  0.540  0.675 x4
O  0.013  0.501  0.428 x4
O  0.101  0.213  0.593 x4
O  0.101  0.845  0.831 x4
O  0.106  0.805  0.523 x4
O  0.110  0.166  0.301 x4
O  0.220  0.543  0.690 x4
O  0.225  0.475  0.437 x4
O  0.228  0.549  0.945 x4
O  0.233  0.461  0.185 x4

=====

No. 20
Below is a relaxed structure of CaLa2BW, with properties calculated at the GGA-PBEsol level.

Properties
DOS(E_F): 7.629 states/eV/f.u.
V: 25.0 Å³ per atom
ΔH_f (0 K): 401.0 meV/atom

Cell lengths 5.420, 5.420, 4.260 Å; angles 90.00, 90.00, 90.00 degrees
Space group P4/mmm (No. 123)
Unique sites:
Ca  0.000  0.000  0.000 x1
La  0.000  0.500  0.500 x2
B  0.500  0.500  0.500 x1
W  0.500  0.500  0.000 x1

=====

No. 21
Below is a relaxed structure of LiCd4Mo, with properties calculated at the GGA-PBEsol level.

Properties
DOS(E_F): 3.825 states/eV/f.u.
V: 20.2 Å³ per atom
ΔH_f (0 K): 445.6 meV/atom

Cell lengths 7.855, 7.855, 7.855 Å; angles 90.00, 90.00, 90.00 degrees
Space group F-43m (No. 216)
Unique sites:
Li  0.000  0.000  0.000 x4
Cd  0.125  0.125  0.375 x16
Mo  0.250  0.250  0.750 x4

=====

No. 22
Below is a relaxed structure of InFeAg2, with properties calculated at the GGA-PBEsol level.

Properties
DOS(E_F): 4.095 states/eV/f.u.
V: 16.4 Å³ per atom
ΔH_f (0 K): 251.8 meV/atom

Cell lengths 6.406, 6.406, 6.406 Å; angles 90.00, 90.00, 90.00 degrees
Space group F-43m (No. 216)
Unique sites:
In  0.000  0.000  0.000 x4
Fe  0.250  0.250  0.750 x4
Ag  0.000  0.000  0.500 x4
Ag  0.250  0.250  0.250 x4